The following is a PBE-GGA calculation of a geometry-optimized In2Si2As structure, from the Alexandria database.

Unit cell a=6.815 b=6.815 c=4.674 alpha=90.00 beta=90.00 gamma=90.00
Positions (direct):
As 0.000 0.000 0.000
As 0.500 0.500 0.000
Si 0.376 0.876 0.000
Si 0.876 0.624 0.000
Si 0.624 0.124 0.000
Si 0.124 0.376 0.000
In 0.186 0.686 0.500
In 0.686 0.814 0.500
In 0.814 0.314 0.500
In 0.314 0.186 0.500

Values from the calculation:
For the energy relative to the elements, uncorrected, the calculation gives 0.33 eV/atom. Its space group is P4/mbm, No. 127.